Density functional theory data (GGA-PBE) for a geometry-optimized CsK4Na2 structure.

```
CsK4Na2
1.0
5.6302 0.0000 0.0000
0.0000 6.5107 -1.7721
0.0000 0.0580 13.0595
Na K Cs
2 4 1
direct
0.5000 0.5685 0.1370
0.5000 0.4315 0.8630
0.0000 0.3167 0.6334
0.5000 0.1702 0.3405
0.0000 0.6833 0.3666
0.5000 0.8298 0.6595
0.0000 0.0000 0.0000
```

Calculated values
**SG**: Cmmm (65)
**ρ**: 1.16 g/cm3
**Excess energy over the best structure of this formula in the dataset**: 0 meV/atom
**ΔH_f (0 K)**: 0.03 eV/atom